The following is a DFT calculation (PBE) of a relaxed SrScCd2 crystal.

DFT formation energy: 223 meV per atom
Fermi-level density of states: 10.54 states/eV/cell
V: 33.216 Å³ per atom
Spin magnetization: 0.00 μB per cell

Cell: 5.0619 5.0619 10.9710 Å, 76.66 76.66 90.00°
Closest atoms and distances in Å follow each position.
Atoms (fractional coordinates):
Sc 0.5000 0.5000 0.0000  4 Cd 3.01
Sc 0.2500 0.7500 0.5000  4 Cd 3.01
Sr 0.0000 0.0000 0.0000  4 Cd 3.34, 4 Sc 3.58
Sr 0.7500 0.2500 0.5000  4 Cd 3.34, 4 Sc 3.58
Cd 0.5418 0.1250 0.2500  2 Sc 3.01, 2 Cd 3.04, 2 Sr 3.34
Cd 0.2082 0.6250 0.2500  2 Sc 3.01, 2 Cd 3.04, 2 Sr 3.34
Cd 0.3750 0.4582 0.7500  2 Sc 3.01, 2 Cd 3.04, 2 Sr 3.34
Cd 0.8750 0.7918 0.7500  2 Sc 3.01, 2 Cd 3.04, 2 Sr 3.34